No. 1
Here is an optimized crystal structure of BaSb2Os from the Alexandria database. Energies are from GGA-PBE.

**DFT total energy**: -20.966 eV for the cell shown
**Density of states at the Fermi level**: 1.060 states/eV/atom
**E_form (uncorrected)**: 0.11 eV per atom
**Magnetization**: 0.00 μB/f.u.

Structure (CIF):
```
data_BaSb2Os
_symmetry_space_group_name_H-M 'P m m m'
_symmetry_Int_Tables_number 47
_cell_length_a 3.327
_cell_length_b 3.608
_cell_length_c 8.275
_cell_angle_alpha 90.00
_cell_angle_beta 90.00
_cell_angle_gamma 90.00
loop_
_symmetry_equiv_pos_as_xyz
'x,y,z'
'-x,-y,-z'
'-x,-y,z'
'x,y,-z'
'x,-y,-z'
'-x,y,z'
'-x,y,-z'
'x,-y,z'
loop_
_atom_site_label
_atom_site_fract_x
_atom_site_fract_y
_atom_site_fract_z
_atom_site_occupancy
Ba1 0.000 0.000 0.000 1
Sb1 0.500 0.500 0.315 1
Os1 0.000 0.000 0.500 1
```

---

No. 2
Here is an optimized crystal structure of Ga2HgTeH from the Alexandria database. Energies are from GGA-PBE.

**DFT total energy**: -11.916 eV for the cell shown
**Density of states at the Fermi level**: 0.312 states/eV/atom
**Magnetization**: 0.00 μB/f.u.

Structure (CIF):
```
data_Ga2HgTeH
_symmetry_space_group_name_H-M 'P 4/m m m'
_symmetry_Int_Tables_number 123
_symmetry_space_group_name_Hall '-P 4 2'
_cell_length_a 4.917
_cell_length_b 4.917
_cell_length_c 4.366
_cell_angle_alpha 90.00
_cell_angle_beta 90.00
_cell_angle_gamma 90.00
loop_
_atom_site_label
_atom_site_fract_x
_atom_site_fract_y
_atom_site_fract_z
_atom_site_occupancy
Ga1 0.000 0.500 0.000 1
Hg1 0.000 0.000 0.500 1
Te1 0.500 0.500 0.500 1
H1 0.000 0.000 0.000 1
```

---

No. 3
Here is an optimized crystal structure of Rb2CuP2Pd2 from the Alexandria database. Energies are from GGA-PBE.

**DFT total energy**: -60.009 eV for the cell shown
**Calculated formation energy**: -395 meV per atom
**Density of states at the Fermi level**: 0.454 states/eV/atom
**Magnetization**: 0.00 μB/f.u.

Structure (CIF):
```
data_Rb2CuP2Pd2
_symmetry_space_group_name_H-M 'C 1 2/m 1'
_symmetry_Int_Tables_number 12
_cell_length_a 11.879
_cell_length_b 4.453
_cell_length_c 8.496
_cell_angle_alpha 90.00
_cell_angle_beta 123.30
_cell_angle_gamma 90.00
loop_
_symmetry_equiv_pos_as_xyz
'x,y,z'
'-x,-y,-z'
'-x,y,-z'
'x,-y,z'
'x+1/2,y+1/2,z'
'-x+1/2,-y+1/2,-z'
'-x+1/2,y+1/2,-z'
'x+1/2,-y+1/2,z'
loop_
_atom_site_label
_atom_site_fract_x
_atom_site_fract_y
_atom_site_fract_z
_atom_site_occupancy
Rb1 0.065 0.000 0.335 1
Cu1 0.000 0.500 0.000 1
P1 0.223 0.500 0.164 1
Pd1 0.241 0.500 0.895 1
```

---

No. 4
Here is an optimized crystal structure of NaPm2NpTe4 from the Alexandria database. Energies are from GGA-PBE.

**DFT total energy**: -45.503 eV for the cell shown
**Density of states at the Fermi level**: 1.797 states/eV/atom
**E_form (uncorrected)**: -1.15 eV per atom
**Magnetization**: 4.70 μB/f.u.

Structure (CIF):
```
data_NaPm2NpTe4
_symmetry_space_group_name_H-M 'P 1 2/m 1'
_symmetry_Int_Tables_number 10
_cell_length_a 7.755
_cell_length_b 4.445
_cell_length_c 7.757
_cell_angle_alpha 90.00
_cell_angle_beta 109.27
_cell_angle_gamma 90.00
loop_
_symmetry_equiv_pos_as_xyz
'x,y,z'
'-x,-y,-z'
'-x,y,-z'
'x,-y,z'
loop_
_atom_site_label
_atom_site_fract_x
_atom_site_fract_y
_atom_site_fract_z
_atom_site_occupancy
Na1 0.000 0.000 0.000 1
Pm1 0.500 0.000 0.500 1
Pm2 0.500 0.500 0.000 1
Np1 0.000 0.500 0.500 1
Te1 0.246 0.000 0.748 1
Te2 0.249 0.500 0.250 1
```

---

No. 5
Here is an optimized crystal structure of Sc3Sb from the Alexandria database. Energies are from GGA-PBE.

**DFT total energy**: -50.217 eV for the cell shown
**Density of states at the Fermi level**: 1.177 states/eV/atom
**ΔE to the lowest computed polymorph**: 52 meV per atom
**E_form (uncorrected)**: -0.50 eV per atom
**Magnetization**: 0.00 μB/f.u.

Structure (CIF):
```
data_Sc3Sb
_symmetry_space_group_name_H-M 'P 1 21/m 1'
_symmetry_Int_Tables_number 11
_cell_length_a 6.232
_cell_length_b 4.829
_cell_length_c 6.315
_cell_angle_alpha 90.00
_cell_angle_beta 103.54
_cell_angle_gamma 90.00
loop_
_symmetry_equiv_pos_as_xyz
'x,y,z'
'-x,-y,-z'
'-x,y+1/2,-z'
'x,-y+1/2,z'
loop_
_atom_site_label
_atom_site_fract_x
_atom_site_fract_y
_atom_site_fract_z
_atom_site_occupancy
Sc1 0.134 0.250 0.410 1
Sc2 0.146 0.250 0.920 1
Sc3 0.362 0.750 0.228 1
Sb1 0.364 0.750 0.720 1
```

---

No. 6
Here is an optimized crystal structure of KTiSb3 from the Alexandria database. Energies are from GGA-PBE.

**DFT total energy**: -22.339 eV for the cell shown
**Density of states at the Fermi level**: 0.796 states/eV/atom
**ΔE to the lowest computed polymorph**: 0 meV per atom
**E_form (uncorrected)**: -0.20 eV per atom
**Magnetization**: 0.00 μB/f.u.

Structure (CIF):
```
data_KTiSb3
_symmetry_space_group_name_H-M 'P m -3 m'
_symmetry_Int_Tables_number 221
_symmetry_space_group_name_Hall '-P 4 2 3'
_cell_length_a 5.368
_cell_length_b 5.368
_cell_length_c 5.368
_cell_angle_alpha 90.00
_cell_angle_beta 90.00
_cell_angle_gamma 90.00
loop_
_atom_site_label
_atom_site_fract_x
_atom_site_fract_y
_atom_site_fract_z
_atom_site_occupancy
K1 0.000 0.000 0.000 1
Ti1 0.500 0.500 0.500 1
Sb1 0.000 0.500 0.500 1
```

---

No. 7
Here is an optimized crystal structure of NaAcRh from the Alexandria database. Energies are from GGA-PBE.

**DFT total energy**: -26.212 eV for the cell shown
**Calculated formation energy**: -109 meV per atom
**Density of states at the Fermi level**: 0.636 states/eV/atom
**ΔE to the lowest computed polymorph**: 173 meV per atom
**Magnetization**: 0.00 μB/f.u.

Structure (CIF):
```
data_NaAcRh
_symmetry_space_group_name_H-M 'I 4 m m'
_symmetry_Int_Tables_number 107
_symmetry_space_group_name_Hall 'I 4 -2'
_cell_length_a 3.774
_cell_length_b 3.774
_cell_length_c 12.917
_cell_angle_alpha 90.00
_cell_angle_beta 90.00
_cell_angle_gamma 90.00
loop_
_atom_site_label
_atom_site_fract_x
_atom_site_fract_y
_atom_site_fract_z
_atom_site_occupancy
Na1 0.000 0.000 0.000 1
Ac1 0.000 0.000 0.259 1
Rh1 0.000 0.000 0.661 1
```

---

No. 8
Here is an optimized crystal structure of ScMn2Zn2 from the Alexandria database. Energies are from GGA-PBE.

**DFT total energy**: -52.942 eV for the cell shown
**Calculated formation energy**: 150 meV per atom
**Density of states at the Fermi level**: 1.199 states/eV/atom
**ΔE to the lowest computed polymorph**: 101 meV per atom
**Magnetization**: 1.99 μB/f.u.

Structure (CIF):
```
data_ScMn2Zn2
_symmetry_space_group_name_H-M 'I 4/m m m'
_symmetry_Int_Tables_number 139
_symmetry_space_group_name_Hall '-I 4 2'
_cell_length_a 3.931
_cell_length_b 3.931
_cell_length_c 10.120
_cell_angle_alpha 90.00
_cell_angle_beta 90.00
_cell_angle_gamma 90.00
loop_
_atom_site_label
_atom_site_fract_x
_atom_site_fract_y
_atom_site_fract_z
_atom_site_occupancy
Sc1 0.000 0.000 0.000 1
Mn1 0.000 0.000 0.404 1
Zn1 0.000 0.500 0.250 1
```

---

No. 9
Here is an optimized crystal structure of LaBeSnPd2 from the Alexandria database. Energies are from GGA-PBE.

**DFT total energy**: -19.505 eV for the cell shown
**Calculated formation energy**: 707 meV per atom
**Density of states at the Fermi level**: 0.749 states/eV/atom
**Magnetization**: 0.00 μB/f.u.

Structure (CIF):
```
data_LaBeSnPd2
_symmetry_space_group_name_H-M 'P 4/m m m'
_symmetry_Int_Tables_number 123
_symmetry_space_group_name_Hall '-P 4 2'
_cell_length_a 4.982
_cell_length_b 4.982
_cell_length_c 5.988
_cell_angle_alpha 90.00
_cell_angle_beta 90.00
_cell_angle_gamma 90.00
loop_
_atom_site_label
_atom_site_fract_x
_atom_site_fract_y
_atom_site_fract_z
_atom_site_occupancy
La1 0.000 0.000 0.000 1
Be1 0.500 0.500 0.000 1
Sn1 0.000 0.000 0.500 1
Pd1 0.000 0.500 0.500 1
```

---

No. 10
Here is an optimized crystal structure of La3Dy2Tl4 from the Alexandria database. Energies are from GGA-PBE.

**DFT total energy**: -72.464 eV for the cell shown
**Calculated formation energy**: -309 meV per atom
**Density of states at the Fermi level**: 0.813 states/eV/atom
**ΔE to the lowest computed polymorph**: 15 meV per atom
**Magnetization**: 0.00 μB/f.u.

Structure (CIF):
```
data_La3Dy2Tl4
_symmetry_space_group_name_H-M 'C 1 2/m 1'
_symmetry_Int_Tables_number 12
_cell_length_a 12.610
_cell_length_b 5.058
_cell_length_c 10.274
_cell_angle_alpha 90.00
_cell_angle_beta 120.34
_cell_angle_gamma 90.00
loop_
_symmetry_equiv_pos_as_xyz
'x,y,z'
'-x,-y,-z'
'-x,y,-z'
'x,-y,z'
'x+1/2,y+1/2,z'
'-x+1/2,-y+1/2,-z'
'-x+1/2,y+1/2,-z'
'x+1/2,-y+1/2,z'
loop_
_atom_site_label
_atom_site_fract_x
_atom_site_fract_y
_atom_site_fract_z
_atom_site_occupancy
La1 0.000 0.000 0.000 1
La2 0.143 0.500 0.688 1
Dy1 0.146 0.500 0.315 1
Tl1 0.066 0.000 0.403 1
Tl2 0.189 0.500 0.034 1
```